The following is a PBE calculation of Ti3SiGe after structural relaxation, from Alexandria via LeMat-Bulk. Values from VASP.

Results
raw total energy	-32.747	eV for the cell shown
distance to the lowest polymorph of the same formula	2.02	eV/f.u.
formation energy from raw total energies	19	kJ/mol of atoms
symmetry	Pm-3m (221)

```
&SYSTEM
  ibrav = 0, nat = 5, ntyp = 3
/
ATOMIC_SPECIES
Ge 72.64 Ge.upf
Si 28.09 Si.upf
Ti 47.87 Ti.upf
ATOMIC_POSITIONS crystal
Ge 0.500 0.500 0.500
Si 0.000 0.000 0.000
Ti 0.000 0.500 0.000
Ti 0.000 0.000 0.500
Ti 0.500 0.000 0.000
CELL_PARAMETERS angstrom
-2.291 -1.931 -3.465
1.000 -4.153 1.653
-3.838 0.070 2.499
```


The following is a PBE calculation of Nd3Pa after structural relaxation, from Alexandria via LeMat-Bulk. Values from VASP.

Results
raw total energy	-22.800	eV for the cell shown
distance to the lowest polymorph of the same formula	0.00	eV/f.u.
symmetry	Imm2 (44)

```
&SYSTEM
  ibrav = 0, nat = 4, ntyp = 2
/
ATOMIC_SPECIES
Pa 231.04 Pa.upf
Nd 144.24 Nd.upf
ATOMIC_POSITIONS crystal
Pa 0.000 0.987 0.000
Nd 0.264 0.616 0.529
Nd 0.500 0.477 0.000
Nd 0.736 0.087 0.471
CELL_PARAMETERS angstrom
3.499 0.000 0.000
0.000 6.180 0.000
-1.749 -3.090 5.919
```


The following is a PBE calculation of TbPm2ErTm5 after structural relaxation, from Alexandria via LeMat-Bulk. Values from VASP.

Results
raw total energy	-77.124	eV for the cell shown
symmetry	I4/mcm (140)

```
&SYSTEM
  ibrav = 0, nat = 18, ntyp = 4
/
ATOMIC_SPECIES
Tb 158.93 Tb.upf
Pm 145.00 Pm.upf
Er 167.26 Er.upf
Tm 168.93 Tm.upf
ATOMIC_POSITIONS crystal
Tb 0.250 0.250 0.500
Tb 0.750 0.750 0.500
Pm 0.117 0.383 0.000
Pm 0.617 0.117 0.000
Pm 0.383 0.883 0.000
Pm 0.883 0.617 0.000
Er 0.250 0.750 0.500
Er 0.750 0.250 0.500
Tm 0.927 0.427 0.279
Tm 0.649 0.149 0.721
Tm 0.073 0.573 0.721
Tm 0.149 0.073 0.721
Tm 0.573 0.649 0.721
Tm 0.851 0.927 0.279
Tm 0.427 0.351 0.279
Tm 0.351 0.851 0.279
Tm 0.500 0.500 0.000
Tm 0.000 0.000 0.000
CELL_PARAMETERS angstrom
8.582 0.000 0.000
0.000 8.582 0.000
-4.291 -4.291 7.696
```


The following is a PBE calculation of Pr6Nd2Rh after structural relaxation, from Alexandria via LeMat-Bulk. Values from VASP.

Results
raw total energy	-46.331	eV for the cell shown
symmetry	C2/m (12)

```
&SYSTEM
  ibrav = 0, nat = 9, ntyp = 3
/
ATOMIC_SPECIES
Pr 140.91 Pr.upf
Nd 144.24 Nd.upf
Rh 102.91 Rh.upf
ATOMIC_POSITIONS crystal
Pr 0.804 0.517 0.163
Pr 0.196 0.483 0.837
Pr 0.694 0.678 0.678
Pr 0.804 0.163 0.517
Pr 0.196 0.837 0.483
Pr 0.306 0.322 0.322
Nd 0.500 0.878 0.122
Nd 0.500 0.122 0.878
Rh 0.000 0.000 0.000
CELL_PARAMETERS angstrom
-0.380 -3.708 0.793
-2.238 -2.436 -9.182
8.933 -0.796 3.850
```


The following is a PBE calculation of PuGa4 after structural relaxation, from Alexandria via LeMat-Bulk. Values from VASP.

Results
raw total energy	-56.032	eV for the cell shown
symmetry	Imma (74)

```
&SYSTEM
  ibrav = 0, nat = 10, ntyp = 2
/
ATOMIC_SPECIES
Pu 244.00 Pu.upf
Ga 69.72 Ga.upf
ATOMIC_POSITIONS crystal
Pu 0.362 0.612 0.750
Pu 0.638 0.388 0.250
Ga 0.500 0.000 0.500
Ga 0.000 0.000 0.000
Ga 0.143 0.393 0.750
Ga 0.857 0.607 0.250
Ga 0.273 0.802 0.472
Ga 0.727 0.198 0.528
Ga 0.170 0.198 0.972
Ga 0.830 0.802 0.028
CELL_PARAMETERS angstrom
-2.196 3.133 6.943
2.196 -3.133 6.943
2.196 3.133 -6.943
```


The following is a PBE calculation of Tl8H after structural relaxation, from Alexandria via LeMat-Bulk. Values from VASP.

Results
raw total energy	-21.441	eV for the cell shown
symmetry	P-3m1 (164)

```
&SYSTEM
  ibrav = 0, nat = 9, ntyp = 2
/
ATOMIC_SPECIES
H 1.01 H.upf
Tl 204.38 Tl.upf
ATOMIC_POSITIONS crystal
H 0.333 0.167 0.250
Tl 0.500 0.500 0.991
Tl 0.500 0.000 0.991
Tl 0.000 0.000 0.991
Tl 0.000 0.500 0.025
Tl 0.167 0.333 0.509
Tl 0.167 0.833 0.509
Tl 0.667 0.833 0.475
Tl 0.667 0.333 0.509
CELL_PARAMETERS angstrom
-5.725 -3.437 2.417
6.295 -0.932 3.153
-1.134 4.397 3.565
```